5
Lattice="4.197 0.000 0.000 0.000 5.892 0.000 0.000 0.000 4.197" Properties=species:S:1:pos:R:3 comment="MnWBrF2, optimized geometry, DFT PBE+U" crystal_system=tetragonal final_energy_ha_per_atom=-0.1852 vol_a3_per_cell=103.8 pbc="T T T"
Mn 0.000 2.946 0.000
Br 2.098 2.946 2.098
W 0.000 0.000 0.000
F 0.000 0.000 2.098
F 2.098 0.000 0.000